(1)
Th2Zn3Hg: optimized geometry, PBE.

* distance to the lowest polymorph of the same formula: 0.29 eV per formula unit
* E_tot: -3.372 eV/atom
* ΔE_f: -0.21 eV per atom
* space group: Imm2, No. 44
* density: 10.3 g/cm3

Cell: 8.506 8.506 8.506 Å, 154.88 147.75 41.30°
Fractional positions:
Th1 0.000 0.000 0.000
Th2 0.780 0.280 0.500
Zn1 0.182 0.682 0.500
Zn2 0.339 0.839 0.500
Zn3 0.437 0.437 0.000
Hg1 0.604 0.604 0.000

(2)
ThZnHg: optimized geometry, PBE.

* E_tot: -3.259 eV/atom
* ΔE_f: -0.26 eV per atom
* space group: P-6m2, No. 187
* density: 11.6 g/cm3

Cell: 4.800 4.800 3.565 Å, 90.00 90.00 120.00°
Fractional positions:
Th1 0.000 0.000 0.000
Zn1 0.667 0.333 0.500
Hg1 0.333 0.667 0.500

> Number 1 is which compound?

Th2Zn3Hg